Here is a relaxed Zn2InGa3 crystal from the Alexandria database. Energies are from GGA-PBE.

The space group is C2/m (No. 12) and the conventional cell measures 12.520, 4.070 and 9.905 Å, with angles of 90.00, 105.42 and 90.00 degrees. The asymmetric unit holds Zn at (0.005, 0.000, 0.377), Zn at (0.118, 0.500, 0.040), In at (0.154, 0.500, 0.547), Ga at (0.002, 0.500, 0.782), Ga at (0.160, 0.000, 0.216) and Ga at (0.166, 0.000, 0.874).

The value obtained for the formation energy is 0.0535 eV per atom. The value obtained for the relative energy among the computed polymorphs is 0.000 eV/atom. The electronic total energy is -2.341 eV/atom. The density of states at the Fermi level is 7.10 states/eV/cell. As for the crystal system: monoclinic.

---

Here is a relaxed Nd2Ho3Hg4 crystal from the Alexandria database. Energies are from GGA-PBE.

The space group is Cmce (No. 64) and the conventional cell measures 6.999, 17.839 and 8.193 Å, with angles of 90.00, 90.00 and 90.00 degrees. The asymmetric unit holds Nd at (0.000, 0.096, 0.090), Ho at (0.000, 0.000, 0.500), Ho at (0.250, 0.239, 0.750), Hg at (0.000, 0.169, 0.472) and Hg at (0.250, 0.066, 0.750).

The value obtained for the formation energy is -0.3534 eV per atom. The electronic total energy is -3.073 eV/atom. The density of states at the Fermi level is 32.55 states/eV/cell. As for the crystal system: orthorhombic.

---

Look up the formation energy of the first one. 0.0535 eV per atom